(1)
An optimized crystal structure of UNbSi, computed with GGA-PBE.

Values from the calculation:
As for the uncorrected formation energy: 0.007 eV/atom. The calculation puts the density at 10.776 g/cm3. The symmetry is P-6m2, No. 187.

a = 2.836 Å, b = 4.746 Å, c = 4.746 Å
α = 120.00°, β = 90.00°, γ = 90.00°
Fractional coordinates of all 3 atoms:
Nb: 0.500 0.333 0.667
U: 0.000 0.000 0.000
Si: 0.500 0.667 0.333



(2)
An optimized crystal structure of Nb3VSi, computed with GGA-PBE.

Values from the calculation:
As for the uncorrected formation energy: 0.818 eV/atom. The energy above the most stable polymorph in this dataset comes out at 0.0 meV/atom. The calculation puts the density at 5.862 g/cm3. The symmetry is Pm-3m, No. 221.

a = 4.662 Å, b = 4.662 Å, c = 4.662 Å
α = 90.00°, β = 90.00°, γ = 90.00°
Last column: magnetic moment on the atom in μB.
Fractional coordinates of all 5 atoms:
Nb: 0.000 0.500 0.000  -0.11
Nb: 0.000 0.000 0.500  -0.11
Nb: 0.500 0.000 0.000  -0.11
Si: 0.000 0.000 0.000  0.00
V: 0.500 0.500 0.500  2.04



(3)
An optimized crystal structure of Nb3V5Si2, computed with GGA-PBE.

Values from the calculation:
As for the uncorrected formation energy: 0.054 eV/atom. The calculation puts the density at 6.148 g/cm3. The symmetry is Ibam, No. 72.

a = 5.268 Å, b = 8.352 Å, c = 8.352 Å
α = 69.86°, β = 71.62°, γ = 71.62°
Fractional coordinates of all 20 atoms:
Nb: 0.250 0.000 0.000
Nb: 0.750 0.000 0.000
Nb: 0.333 0.433 0.901
Nb: 0.667 0.567 0.099
Nb: 0.833 0.901 0.433
Nb: 0.167 0.099 0.567
V: 0.250 0.500 0.500
V: 0.750 0.500 0.500
V: 0.450 0.800 0.800
V: 0.050 0.200 0.200
V: 0.550 0.200 0.200
V: 0.950 0.800 0.800
V: 0.150 0.403 0.297
V: 0.850 0.597 0.703
V: 0.650 0.297 0.403
V: 0.350 0.703 0.597
Si: 0.110 0.688 0.093
Si: 0.890 0.312 0.907
Si: 0.610 0.093 0.688
Si: 0.390 0.907 0.312



(4)
An optimized crystal structure of Nb4VSi3, computed with GGA-PBE.

Values from the calculation:
As for the uncorrected formation energy: -0.673 eV/atom. The calculation puts the density at 6.775 g/cm3. The symmetry is I4/mcm, No. 140.

a = 4.973 Å, b = 7.492 Å, c = 7.492 Å
α = 83.68°, β = 70.62°, γ = 70.62°
Fractional coordinates of all 16 atoms:
Nb: 0.421 0.299 0.858
Nb: 0.579 0.701 0.142
Nb: 0.721 0.858 0.701
Nb: 0.079 0.142 0.701
Nb: 0.279 0.142 0.299
Nb: 0.921 0.858 0.299
Nb: 0.779 0.299 0.142
Nb: 0.221 0.701 0.858
Si: 0.750 0.000 0.000
Si: 0.250 0.000 0.000
Si: 0.343 0.814 0.500
Si: 0.657 0.186 0.500
Si: 0.157 0.500 0.186
Si: 0.843 0.500 0.814
V: 0.750 0.500 0.500
V: 0.250 0.500 0.500



(5)
An optimized crystal structure of NbVSi2, computed with GGA-PBE.

Values from the calculation:
As for the uncorrected formation energy: -0.208 eV/atom. The energy above the most stable polymorph in this dataset comes out at 0.0 meV/atom. The calculation puts the density at 5.782 g/cm3. The symmetry is P4/mmm, No. 123.

a = 2.831 Å, b = 2.831 Å, c = 7.168 Å
α = 90.00°, β = 90.00°, γ = 90.00°
Last column: magnetic moment on the atom in μB.
Fractional coordinates of all 4 atoms:
Nb: 0.500 0.500 0.500  0.01
Si: 0.000 0.000 0.772  0.00
Si: 0.000 0.000 0.228  0.00
V: 0.500 0.500 0.000  0.56



(6)
An optimized crystal structure of NbVSi2, computed with GGA-PBE.

Values from the calculation:
As for the uncorrected formation energy: 0.113 eV/atom. The energy above the most stable polymorph in this dataset comes out at 321.1 meV/atom. The calculation puts the density at 5.275 g/cm3. The symmetry is I-42d, No. 122.

a = 3.720 Å, b = 3.720 Å, c = 9.474 Å
α = 78.68°, β = 78.68°, γ = 90.00°
Fractional coordinates of all 8 atoms:
Nb: 0.000 0.000 0.000
Nb: 0.750 0.250 0.500
Si: 0.602 0.125 0.250
Si: 0.148 0.625 0.250
Si: 0.375 0.398 0.750
Si: 0.875 0.852 0.750
V: 0.500 0.500 0.000
V: 0.250 0.750 0.500